Entry 1:
{
  "formula": "La2NbCdN",
  "functional": "PBE",
  "state": "relaxed",
  "mass_density_g_cm3": 6.97,
  "spacegroup": "P4/mmm, No. 123",
  "raw_formation_energy_ev_per_fu": -2.8,
  "lattice": [[5.320, 0.000, 0.000], [0.000, 5.320, 0.000], [0.000, 0.000, 4.184]],
  "species": ["La", "La", "Nb", "Cd", "N"],
  "fractional_positions": [[0.000, 0.500, 0.000], [0.500, 0.000, 0.000], [0.000, 0.000, 0.500], [0.500, 0.500, 0.500], [0.000, 0.000, 0.000]]
}

***

Entry 2:
{
  "formula": "Sr2In15Sn2",
  "functional": "PBE",
  "state": "relaxed",
  "mass_density_g_cm3": 6.41,
  "formation_energy_ev_per_atom": -0.0832,
  "spacegroup": "R-3m, No. 166",
  "lattice": [[5.414, 3.126, 5.445], [-5.414, 3.126, 5.445], [0.000, -6.251, 5.445]],
  "species": ["Sr", "Sr", "In", "In", "In", "In", "In", "In", "In", "In", "In", "In", "In", "In", "In", "In", "In", "Sn", "Sn"],
  "fractional_positions": [[0.158, 0.158, 0.158], [0.842, 0.842, 0.842], [0.000, 0.500, 0.500], [0.138, 0.138, 0.657], [0.138, 0.657, 0.138], [0.202, 0.500, 0.798], [0.202, 0.798, 0.500], [0.343, 0.862, 0.862], [0.500, 0.000, 0.500], [0.500, 0.202, 0.798], [0.500, 0.500, 0.000], [0.500, 0.798, 0.202], [0.657, 0.138, 0.138], [0.798, 0.202, 0.500], [0.798, 0.500, 0.202], [0.862, 0.343, 0.862], [0.862, 0.862, 0.343], [0.400, 0.400, 0.400], [0.600, 0.600, 0.600]]
}

***

Entry 3:
{
  "formula": "SrLa2Pr",
  "functional": "PBE",
  "state": "relaxed",
  "de_polymorph_ev_per_atom": 0.118,
  "mass_density_g_cm3": 5.22,
  "formation_energy_ev_per_atom": 0.1882,
  "spacegroup": "Fm-3m, No. 225",
  "lattice": [[0.000, 4.319, 4.319], [4.319, 0.000, 4.319], [4.319, 4.319, 0.000]],
  "species": ["Sr", "La", "La", "Pr"],
  "fractional_positions": [[0.000, 0.000, 0.000], [0.250, 0.250, 0.250], [0.750, 0.750, 0.750], [0.500, 0.500, 0.500]]
}

***

Entry 4:
{
  "formula": "Ho6Bi3Ru",
  "functional": "PBE",
  "state": "relaxed",
  "mass_density_g_cm3": 9.61,
  "formation_energy_ev_per_atom": -0.5201,
  "spacegroup": "P2_1/c, No. 14",
  "lattice": [[6.390, 0.000, 0.000], [0.000, 8.456, 0.000], [-6.155, 0.000, 10.986]],
  "species": ["Ho", "Ho", "Ho", "Ho", "Ho", "Ho", "Ho", "Ho", "Ho", "Ho", "Ho", "Ho", "Bi", "Bi", "Bi", "Bi", "Bi", "Bi", "Ru", "Ru"],
  "fractional_positions": [[0.056, 0.202, 0.441], [0.056, 0.298, 0.941], [0.300, 0.654, 0.435], [0.300, 0.846, 0.935], [0.361, 0.036, 0.227], [0.361, 0.464, 0.727], [0.639, 0.536, 0.273], [0.639, 0.964, 0.773], [0.700, 0.154, 0.065], [0.700, 0.346, 0.565], [0.944, 0.702, 0.059], [0.944, 0.798, 0.559], [0.152, 0.118, 0.737], [0.152, 0.382, 0.237], [0.500, 0.000, 0.500], [0.500, 0.500, 0.000], [0.848, 0.618, 0.763], [0.848, 0.882, 0.263], [0.000, 0.000, 0.000], [0.000, 0.500, 0.500]]
}

***

Entry 5:
{
  "formula": "Na2LiCdCl5",
  "functional": "PBE",
  "state": "relaxed",
  "mass_density_g_cm3": 2.57,
  "spacegroup": "Cmc2_1, No. 36",
  "raw_formation_energy_ev_per_fu": -13.9,
  "lattice": [[1.977, -8.281, 0.000], [1.977, 8.281, 0.000], [0.000, 0.000, 13.537]],
  "species": ["Na", "Na", "Na", "Na", "Li", "Li", "Cd", "Cd", "Cl", "Cl", "Cl", "Cl", "Cl", "Cl", "Cl", "Cl", "Cl", "Cl"],
  "fractional_positions": [[0.069, 0.931, 0.500], [0.105, 0.895, 0.203], [0.895, 0.105, 0.703], [0.931, 0.069, 0.000], [0.419, 0.581, 0.275], [0.581, 0.419, 0.775], [0.235, 0.765, 0.888], [0.765, 0.235, 0.388], [0.076, 0.924, 0.875], [0.251, 0.749, 0.516], [0.273, 0.727, 0.248], [0.392, 0.608, 0.857], [0.495, 0.505, 0.128], [0.505, 0.495, 0.628], [0.608, 0.392, 0.357], [0.727, 0.273, 0.748], [0.749, 0.251, 0.016], [0.924, 0.076, 0.375]]
}

***

Entry 6:
{
  "formula": "BC3",
  "functional": "PBE",
  "state": "relaxed",
  "de_polymorph_ev_per_atom": 0.030,
  "mass_density_g_cm3": 3.12,
  "formation_energy_ev_per_atom": 0.2704,
  "spacegroup": "Pmm2, No. 25",
  "lattice": [[2.494, 0.000, 0.000], [0.000, 2.557, 0.000], [0.000, 0.000, 11.715]],
  "species": ["B", "B", "B", "C", "C", "C", "C", "C", "C", "C", "C", "C"],
  "fractional_positions": [[0.000, 0.000, 0.000], [0.000, 0.500, 0.292], [0.500, 0.000, 0.121], [0.000, 0.000, 0.382], [0.000, 0.000, 0.687], [0.000, 0.500, 0.610], [0.000, 0.500, 0.915], [0.500, 0.000, 0.456], [0.500, 0.000, 0.763], [0.500, 0.500, 0.200], [0.500, 0.500, 0.534], [0.500, 0.500, 0.840]]
}

***

Copy entry 5 word for word.
{
  "formula": "Na2LiCdCl5",
  "functional": "PBE",
  "state": "relaxed",
  "mass_density_g_cm3": 2.57,
  "spacegroup": "Cmc2_1, No. 36",
  "raw_formation_energy_ev_per_fu": -13.9,
  "lattice": [[1.977, -8.281, 0.000], [1.977, 8.281, 0.000], [0.000, 0.000, 13.537]],
  "species": ["Na", "Na", "Na", "Na", "Li", "Li", "Cd", "Cd", "Cl", "Cl", "Cl", "Cl", "Cl", "Cl", "Cl", "Cl", "Cl", "Cl"],
  "fractional_positions": [[0.069, 0.931, 0.500], [0.105, 0.895, 0.203], [0.895, 0.105, 0.703], [0.931, 0.069, 0.000], [0.419, 0.581, 0.275], [0.581, 0.419, 0.775], [0.235, 0.765, 0.888], [0.765, 0.235, 0.388], [0.076, 0.924, 0.875], [0.251, 0.749, 0.516], [0.273, 0.727, 0.248], [0.392, 0.608, 0.857], [0.495, 0.505, 0.128], [0.505, 0.495, 0.628], [0.608, 0.392, 0.357], [0.727, 0.273, 0.748], [0.749, 0.251, 0.016], [0.924, 0.076, 0.375]]
}